Record 1
{
  "formula": "PmBi2P2Pd7",
  "functional": "GGA-PBE",
  "state": "optimized geometry",
  "lattice": [[4.5484, -0.2764, -0.2818], [-0.2708, 4.5488, -0.2818], [1.2936, 1.2920, 11.3514]],
  "species": ["Pm", "Pd", "Pd", "Pd", "Pd", "Pd", "Pd", "Pd", "Bi", "Bi", "P", "P"],
  "frac_coords": [[0.0000, 0.0000, 0.0000], [0.6341, 0.6341, 0.6089], [0.5770, 0.1635, 0.7910], [0.1635, 0.5770, 0.7910], [0.8365, 0.4230, 0.2090], [0.4230, 0.8365, 0.2090], [0.3659, 0.3659, 0.3911], [0.5000, 0.5000, 0.0000], [0.8498, 0.8498, 0.3844], [0.1502, 0.1502, 0.6156], [0.3177, 0.3177, 0.1858], [0.6823, 0.6823, 0.8142]],
  "crystal_system": "monoclinic",
  "formation_enthalpy_0k_ev_per_atom": -0.51,
  "magnetic_moment_mub_per_atom": 0.000,
  "volume_a3_per_atom": 19.79
}

=====

Record 2
{
  "formula": "Li4NbO4",
  "functional": "GGA-PBE",
  "state": "optimized geometry",
  "lattice": [[-6.0912, -3.6389, 4.0428], [0.7960, -4.6723, -3.0061], [3.6526, -1.8482, 3.8398]],
  "species": ["O", "O", "O", "O", "O", "O", "O", "O", "Li", "Li", "Li", "Li", "Li", "Li", "Li", "Li", "Nb", "Nb"],
  "frac_coords": [[0.1579, 0.0000, 0.2465], [0.6579, 0.2535, 0.5000], [0.6579, 0.7465, 0.5000], [0.3421, 0.5000, 0.2535], [0.8421, 0.7535, 0.0000], [0.1579, 0.0000, 0.7535], [0.3421, 0.5000, 0.7465], [0.8421, 0.2465, 0.0000], [0.1766, 0.2370, 0.5000], [0.6766, 0.0000, 0.2630], [0.3234, 0.7370, 0.0000], [0.1766, 0.7630, 0.5000], [0.8234, 0.5000, 0.7630], [0.6766, 0.0000, 0.7370], [0.3234, 0.2630, 0.0000], [0.8234, 0.5000, 0.2370], [0.5000, 0.5000, 0.5000], [0.0000, 0.0000, 0.0000]],
  "crystal_system": "tetragonal",
  "de_polymorph_mev_per_atom": 175,
  "magnetic_moment_mub_per_atom": 0.067,
  "volume_a3_per_atom": 14.29,
  "e_form_raw_ev_per_atom": -1.933
}

=====

Record 3
{
  "formula": "YZn3Ge3",
  "functional": "GGA-PBE",
  "state": "optimized geometry",
  "lattice": [[-1.2651, -0.8404, -6.6644], [0.9769, -6.7324, 0.6635], [-6.6457, -0.8297, 1.3661]],
  "species": ["Zn", "Zn", "Zn", "Zn", "Zn", "Zn", "Ge", "Ge", "Ge", "Ge", "Ge", "Ge", "Y", "Y"],
  "frac_coords": [[0.7500, 0.5000, 0.0000], [0.5000, 0.0000, 0.2500], [0.0000, 0.7500, 0.5000], [0.5000, 0.0000, 0.7500], [0.0000, 0.2500, 0.5000], [0.2500, 0.5000, 0.0000], [0.5000, 0.2500, 0.0000], [0.2500, 0.0000, 0.5000], [0.0000, 0.5000, 0.7500], [0.7500, 0.0000, 0.5000], [0.0000, 0.5000, 0.2500], [0.5000, 0.7500, 0.0000], [0.5000, 0.5000, 0.5000], [0.0000, 0.0000, 0.0000]],
  "crystal_system": "cubic",
  "formation_enthalpy_0k_ev_per_atom": 0.21,
  "magnetic_moment_mub_per_atom": 0.000,
  "volume_a3_per_atom": 22.81
}

=====

Record 4
{
  "formula": "BaCa2CdP",
  "functional": "GGA-PBE",
  "state": "optimized geometry",
  "lattice": [[5.4801, 0.0000, 0.0000], [0.0000, 5.4801, 0.0000], [0.0000, 0.0000, 6.3513]],
  "species": ["Cd", "P", "Ca", "Ca", "Ba"],
  "frac_coords": [[0.5000, 0.5000, 0.5000], [0.0000, 0.0000, 0.0000], [0.5000, 0.0000, 0.0000], [0.0000, 0.5000, 0.0000], [0.0000, 0.0000, 0.5000]],
  "crystal_system": "tetragonal",
  "formation_enthalpy_0k_ev_per_atom": -0.54,
  "magnetic_moment_mub_per_atom": 0.000,
  "volume_a3_per_atom": 38.15
}